No. 1
VASP calculation (PBE) on LaCrTc2 after structural relaxation.

Values from the calculation:
Energy above the most stable polymorph in this dataset ... 140 meV per atom
ΔE_f ... 0.439 eV per atom
VASP energy ... -8.382 eV per atom

Unit cell a=4.056 b=2.939 c=6.378 alpha=78.57 beta=90.00 gamma=90.00
Atoms (fractional coordinates):
Cr 0.000 0.524 0.414
La 0.500 0.739 0.749
Tc 0.000 0.964 0.075
Tc 0.500 0.273 0.262

No. 2
VASP calculation (PBE) on K3Eu3Pd2 after structural relaxation.

Values from the calculation:
ΔE_f ... -0.036 eV per atom
VASP energy ... -5.599 eV per atom

Unit cell a=4.268 b=8.751 c=8.751 alpha=120.00 beta=90.00 gamma=90.00
Each line ends with the local moment (μB).
Atoms (fractional coordinates):
Eu 0.500 0.552 0.552  6.93
Eu 0.500 0.448 0.000  6.93
Eu 0.500 0.000 0.448  6.93
K 0.000 0.230 0.230  0.01
K 0.000 0.770 0.000  0.01
K 0.000 0.000 0.770  0.01
Pd 0.000 0.667 0.333  -0.07
Pd 0.000 0.333 0.667  -0.07

No. 3
VASP calculation (PBE) on TaMo2W6 after structural relaxation.

Values from the calculation:
Energy above the most stable polymorph in this dataset ... 418 meV per atom
ΔE_f ... 0.773 eV per atom
VASP energy ... -11.586 eV per atom

Unit cell a=4.499 b=5.411 c=7.486 alpha=111.19 beta=107.39 gamma=90.00
Atoms (fractional coordinates):
Ta 0.000 0.000 0.000
Mo 0.891 0.392 0.784
Mo 0.109 0.608 0.216
W 0.696 0.935 0.391
W 0.304 0.065 0.609
W 0.304 0.544 0.609
W 0.500 0.259 0.000
W 0.500 0.741 0.000
W 0.696 0.456 0.391

No. 4
VASP calculation (PBE) on DyHoPuMg after structural relaxation.

Values from the calculation:
ΔE_f ... 0.147 eV per atom
VASP energy ... -6.130 eV per atom

Unit cell a=5.439 b=5.439 c=5.439 alpha=60.00 beta=60.00 gamma=60.00
Each line ends with the local moment (μB).
Atoms (fractional coordinates):
Mg 0.250 0.250 0.250  -0.01
Dy 0.500 0.500 0.500  0.20
Ho 0.000 0.000 0.000  0.20
Pu 0.750 0.750 0.750  5.52

No. 5
VASP calculation (PBE) on MgIn2SnI6 after structural relaxation.

Values from the calculation:
ΔE_f (raw) ... -0.57 eV/atom
VASP energy ... -2.606 eV per atom

Unit cell a=6.734 b=8.334 c=8.334 alpha=90.00 beta=90.00 gamma=90.00
Atoms (fractional coordinates):
Mg 0.592 0.000 0.000
In 0.998 0.500 0.000
In 0.998 0.000 0.500
Sn 0.610 0.500 0.500
I 0.719 0.238 0.238
I 0.719 0.238 0.762
I 0.178 0.500 0.500
I 0.194 0.000 0.000
I 0.719 0.762 0.762
I 0.719 0.762 0.238

No. 6
VASP calculation (PBE) on MnNbOs after structural relaxation.

Values from the calculation:
Energy above the most stable polymorph in this dataset ... 269 meV per atom
ΔE_f ... 0.111 eV per atom
VASP energy ... -10.045 eV per atom

Unit cell a=3.740 b=3.740 c=7.262 alpha=104.92 beta=104.92 gamma=90.00
Each line ends with the local moment (μB).
Atoms (fractional coordinates):
Os 0.132 0.132 0.263  0.10
Os 0.868 0.868 0.737  0.10
Mn 0.000 0.500 0.000  2.40
Mn 0.500 0.000 0.000  2.40
Nb 0.676 0.676 0.351  -0.05
Nb 0.324 0.324 0.649  -0.05

No. 7
VASP calculation (PBE) on RbTl2Ir4 after structural relaxation.

Values from the calculation:
ΔE_f ... 2.358 eV per atom
VASP energy ... -3.520 eV per atom

Unit cell a=4.828 b=4.828 c=8.709 alpha=73.91 beta=73.91 gamma=90.00
Each line ends with the local moment (μB).
Atoms (fractional coordinates):
Tl 0.605 0.605 0.789  -0.01
Tl 0.395 0.395 0.211  -0.01
Ir 0.765 0.765 0.470  0.80
Ir 0.235 0.235 0.530  0.80
Ir 0.000 0.500 0.000  0.01
Ir 0.500 0.000 0.000  0.01
Rb 0.000 0.000 0.000  0.00

No. 8
VASP calculation (PBE) on ScTlSb2Rh after structural relaxation.

Values from the calculation:
ΔE_f (raw) ... 1.25 eV/atom
VASP energy ... -3.613 eV per atom

Unit cell a=5.504 b=5.307 c=5.504 alpha=90.00 beta=90.00 gamma=90.00
Atoms (fractional coordinates):
Sc 0.000 0.500 0.000
Sb 0.000 0.000 0.500
Sb 0.500 0.000 0.000
Tl 0.000 0.000 0.000
Rh 0.500 0.500 0.500